VASP calculation (PBE) on crystalline Co2AgOs at its relaxed geometry.

## Properties
As for the density of states at the Fermi level: 1.334 states/eV per atom. The crystal system is orthorhombic. The calculation puts the total magnetic moment at 2.12 μB per cell. The value obtained for the total energy is -6.587 eV/atom. As for the energy relative to the lowest polymorph listed for this composition: 197 meV/atom. Its formation enthalpy at 0 K is 188 kJ/mol of formula units.

Geometry as CIF:
```
data_Co2AgOs
_symmetry_space_group_name_H-M 'P m m 2'
_symmetry_Int_Tables_number 25
_cell_length_a 2.641
_cell_length_b 3.693
_cell_length_c 5.577
_cell_angle_alpha 90.00
_cell_angle_beta 90.00
_cell_angle_gamma 90.00
loop_
_symmetry_equiv_pos_as_xyz
'x,y,z'
'-x,-y,z'
'-x,y,z'
'x,-y,z'
loop_
_atom_site_label
_atom_site_type_symbol
_atom_site_fract_x
_atom_site_fract_y
_atom_site_fract_z
Co1 Co 0.000 0.000 0.000
Co2 Co 0.500 0.500 0.239
Ag1 Ag 0.500 0.500 0.740
Os1 Os 0.000 0.000 0.428
```



VASP calculation (PBE) on crystalline Cs2TeO2F4 at its relaxed geometry.

## Properties
As for the density of states at the Fermi level: 0.000 states/eV per atom. The crystal system is monoclinic. For the energy relative to the elements, uncorrected, the calculation gives -18.73 eV per formula unit. The calculation puts the total magnetic moment at 0.20 μB per cell. The value obtained for the total energy is -4.554 eV/atom.

Geometry as CIF:
```
data_Cs2TeO2F4
_symmetry_space_group_name_H-M 'C 1 2/m 1'
_symmetry_Int_Tables_number 12
_cell_length_a 11.138
_cell_length_b 6.390
_cell_length_c 5.232
_cell_angle_alpha 90.00
_cell_angle_beta 92.78
_cell_angle_gamma 90.00
loop_
_symmetry_equiv_pos_as_xyz
'x,y,z'
'-x,-y,-z'
'-x,y,-z'
'x,-y,z'
'x+1/2,y+1/2,z'
'-x+1/2,-y+1/2,-z'
'-x+1/2,y+1/2,-z'
'x+1/2,-y+1/2,z'
loop_
_atom_site_label
_atom_site_type_symbol
_atom_site_fract_x
_atom_site_fract_y
_atom_site_fract_z
Cs1 Cs 0.176 0.000 0.304
Te1 Te 0.000 0.500 0.000
O1 O 0.143 0.500 0.186
F1 F 0.064 0.275 0.781
```



VASP calculation (PBE) on crystalline NaLi2Tb at its relaxed geometry.

## Properties
As for the density of states at the Fermi level: 0.893 states/eV per atom. The crystal system is tetragonal. The calculation puts the total magnetic moment at 0.00 μB per cell. The value obtained for the total energy is -2.294 eV/atom. As for the energy relative to the lowest polymorph listed for this composition: 0 meV/atom. Its formation enthalpy at 0 K is 58 kJ/mol of formula units.

Geometry as CIF:
```
data_NaLi2Tb
_symmetry_space_group_name_H-M 'P 4/m m m'
_symmetry_Int_Tables_number 123
_symmetry_space_group_name_Hall '-P 4 2'
_cell_length_a 3.435
_cell_length_b 3.435
_cell_length_c 9.045
_cell_angle_alpha 90.00
_cell_angle_beta 90.00
_cell_angle_gamma 90.00
loop_
_atom_site_label
_atom_site_type_symbol
_atom_site_fract_x
_atom_site_fract_y
_atom_site_fract_z
Na1 Na 0.000 0.000 0.000
Li1 Li 0.500 0.500 0.246
Tb1 Tb 0.000 0.000 0.500
```